(1)
Here is an optimized crystal structure of Ag2Hg from the Alexandria database. Energies are from GGA-PBEsol.

Lattice parameters (Å, degrees): 4.7052 4.7052 5.6811 90.00 90.00 120.00
Space group P6_3/mmc (No. 194)
Symmetry-distinct sites (fractional):
Ag (0.0000, 0.0000, 0.0000)
Ag (0.3333, 0.6667, 0.2500)
Hg (0.3333, 0.6667, 0.7500)

Values from the calculation:
- Energy above the lowest structure with this stoichiometry: 43 meV/atom
- Formation enthalpy at 0 K: 0.04 eV per atom

(2)
Here is an optimized crystal structure of LaIrRh from the Alexandria database. Energies are from GGA-PBEsol.

Lattice parameters (Å, degrees): 2.8738 2.8738 7.4010 90.00 90.00 120.00
Space group P3m1 (No. 156)
Symmetry-distinct sites (fractional):
La (0.0000, 0.0000, 0.0000)
Ir (0.3333, 0.6667, 0.3608)
Rh (0.6667, 0.3333, 0.6434)

Values from the calculation:
- Energy above the lowest structure with this stoichiometry: 291 meV/atom
- Formation enthalpy at 0 K: 0.39 eV per atom

> Look up the energy above the lowest structure with this stoichiometry of the first one.

43 meV/atom

Copy entry 1 word for word.
Here is an optimized crystal structure of Ag2Hg from the Alexandria database. Energies are from GGA-PBEsol.

Lattice parameters (Å, degrees): 4.7052 4.7052 5.6811 90.00 90.00 120.00
Space group P6_3/mmc (No. 194)
Symmetry-distinct sites (fractional):
Ag (0.0000, 0.0000, 0.0000)
Ag (0.3333, 0.6667, 0.2500)
Hg (0.3333, 0.6667, 0.7500)

Values from the calculation:
- Energy above the lowest structure with this stoichiometry: 43 meV/atom
- Formation enthalpy at 0 K: 0.04 eV per atom

> formation enthalpy at 0 K of number 2 (LaIrRh)?

0.39 eV per atom

> What is the energy above the lowest structure with this stoichiometry in the second record?

291 meV/atom